[1]
A relaxed structure of CaBeBr2, computed with PBEsol.

Structure (POSCAR):
```
CaBeBr2
1.0
-3.477 -0.781 0.081
0.593 -2.373 2.593
-1.272 6.139 5.908
Be Ca Br
1 1 2
Direct
0.500 0.500 0.000 Be
0.500 0.500 0.500 Ca
0.002 0.000 0.306 Br
0.998 0.000 0.694 Br
```

For the volume, the calculation gives 109 Å³/cell. The calculation puts the mass density at 3.17 g/cm³. Its symmetry is P2/m. The formation energy (no corrections) is -514 meV/atom. For the total energy, the calculation gives -2.983 eV per atom.

---

[2]
A relaxed structure of CaTl3, computed with PBEsol.

Structure (POSCAR):
```
CaTl3
1.0
5.990 0.000 0.000
0.000 6.649 0.000
0.000 0.000 16.301
Ca Tl
6 18
Direct
0.541 0.000 0.500 Ca
0.162 0.000 0.163 Ca
0.162 0.000 0.837 Ca
0.459 0.500 0.000 Ca
0.838 0.500 0.663 Ca
0.838 0.500 0.337 Ca
0.662 0.748 0.166 Tl
0.662 0.748 0.834 Tl
0.030 0.755 0.500 Tl
0.970 0.745 0.000 Tl
0.338 0.752 0.666 Tl
0.338 0.752 0.334 Tl
0.502 0.000 0.000 Tl
0.838 0.000 0.670 Tl
0.838 0.000 0.330 Tl
0.662 0.252 0.166 Tl
0.662 0.252 0.834 Tl
0.030 0.245 0.500 Tl
0.970 0.255 0.000 Tl
0.338 0.248 0.666 Tl
0.338 0.248 0.334 Tl
0.498 0.500 0.500 Tl
0.162 0.500 0.170 Tl
0.162 0.500 0.830 Tl
```

For the volume, the calculation gives 649 Å³/cell. The calculation puts the mass density at 10.02 g/cm³. Its symmetry is Pmmn. For the total energy, the calculation gives -2.776 eV per atom. The formation enthalpy at 0 K is -0.27 eV/atom.

---

[3]
A relaxed structure of Sr2ScPt, computed with PBEsol.

Structure (POSCAR):
```
Sr2ScPt
1.0
-3.004 0.905 -1.923
-0.324 -5.296 -1.985
-1.686 0.704 6.486
Pt Sc Sr
1 1 2
Direct
0.522 0.523 0.045 Pt
0.174 0.674 0.348 Sc
0.997 0.997 0.993 Sr
0.807 0.307 0.614 Sr
```

For the volume, the calculation gives 122 Å³/cell. The calculation puts the mass density at 5.67 g/cm³. Its symmetry is Imm2. For the total energy, the calculation gives -4.667 eV per atom. The formation enthalpy at 0 K is -0.35 eV/atom.

---

[4]
A relaxed structure of TlCoS2, computed with PBEsol.

Structure (POSCAR):
```
TlCoS2
1.0
3.345 0.000 0.000
1.672 2.897 0.000
1.672 0.966 7.957
Tl Co S
1 1 2
Direct
0.000 0.000 0.000 Tl
0.500 0.500 0.500 Co
0.879 0.879 0.364 S
0.121 0.121 0.636 S
```

For the volume, the calculation gives 77 Å³/cell. The calculation puts the mass density at 7.05 g/cm³. Its symmetry is R-3m. The formation energy (no corrections) is -365 meV/atom. For the total energy, the calculation gives -5.149 eV per atom.

---

[5]
A relaxed structure of SrCr2Pt, computed with PBEsol.

Structure (POSCAR):
```
SrCr2Pt
1.0
4.750 0.000 0.000
2.375 4.114 0.000
2.375 1.371 3.879
Cr Pt Sr
2 1 1
Direct
0.000 0.000 0.000 Cr
0.750 0.750 0.750 Cr
0.500 0.500 0.500 Pt
0.250 0.250 0.250 Sr
```

For the volume, the calculation gives 76 Å³/cell. The calculation puts the mass density at 8.47 g/cm³. Its symmetry is F-43m. For the total energy, the calculation gives -6.803 eV per atom. The formation enthalpy at 0 K is 0.52 eV/atom.

---

[6]
A relaxed structure of Sr2CoTe, computed with PBEsol.

Structure (POSCAR):
```
Sr2CoTe
1.0
-1.185 1.841 -3.706
3.387 -2.084 -2.118
-5.230 -3.540 -0.087
Sr Te Co
2 1 1
Direct
0.875 0.020 0.041 Sr
0.375 0.733 0.467 Sr
0.375 0.436 0.872 Te
0.875 0.310 0.620 Co
```

For the volume, the calculation gives 114 Å³/cell. The calculation puts the mass density at 5.25 g/cm³. Its symmetry is Amm2. The formation energy (no corrections) is -411 meV/atom. For the total energy, the calculation gives -4.147 eV per atom.

---

[7]
A relaxed structure of FeSbSN2, computed with PBEsol.

Structure (POSCAR):
```
FeSbSN2
1.0
-1.728 2.196 -2.427
-2.164 -2.825 -1.017
-3.078 1.183 3.262
Sb S Fe N
1 1 1 2
Direct
0.500 0.500 0.500 Sb
0.000 0.000 0.500 S
0.000 0.000 0.000 Fe
0.000 0.500 0.000 N
0.500 0.000 0.000 N
```

For the volume, the calculation gives 64 Å³/cell. The calculation puts the mass density at 6.21 g/cm³. Its symmetry is P4/mmm. The formation energy (no corrections) is 645 meV/atom. For the total energy, the calculation gives -6.346 eV per atom.

---

[8]
A relaxed structure of TaSbPb2, computed with PBEsol.

Structure (POSCAR):
```
TaSbPb2
1.0
-0.972 3.260 3.877
-4.865 0.882 1.470
-1.695 -1.806 4.524
Pb Sb Ta
2 1 1
Direct
0.000 0.000 0.000 Pb
0.750 0.750 0.750 Pb
0.500 0.500 0.500 Sb
0.250 0.250 0.250 Ta
```

For the volume, the calculation gives 97 Å³/cell. The calculation puts the mass density at 12.27 g/cm³. Its symmetry is F-43m. The formation energy (no corrections) is 651 meV/atom. For the total energy, the calculation gives -5.626 eV per atom.

---

[9]
A relaxed structure of LiMgPb2, computed with PBEsol.

Structure (POSCAR):
```
LiMgPb2
1.0
-1.833 -3.285 2.353
3.291 -2.713 -1.224
1.867 4.371 3.373
Pb Mg Li
2 1 1
Direct
0.000 0.000 0.000 Pb
0.750 0.250 0.500 Pb
0.250 0.750 0.500 Mg
0.500 0.500 0.000 Li
```

For the volume, the calculation gives 97 Å³/cell. The calculation puts the mass density at 7.65 g/cm³. Its symmetry is I-4m2. For the total energy, the calculation gives -3.081 eV per atom. The formation enthalpy at 0 K is -0.16 eV/atom.

---

[10]
A relaxed structure of BaAlZn, computed with PBEsol.

Structure (POSCAR):
```
BaAlZn
1.0
-2.685 -3.120 -1.232
3.147 -3.260 1.397
-3.262 1.605 3.045
Zn Ba Al
1 1 1
Direct
0.500 0.667 0.333 Zn
0.000 0.333 0.667 Ba
0.500 0.000 0.000 Al
```

For the volume, the calculation gives 84 Å³/cell. The calculation puts the mass density at 4.56 g/cm³. Its symmetry is P-6m2. For the total energy, the calculation gives -2.718 eV per atom. The formation enthalpy at 0 K is -0.11 eV/atom.

---

[11]
A relaxed structure of MnCo4W, computed with PBEsol.

Structure (POSCAR):
```
MnCo4W
1.0
-3.985 -1.306 1.823
-3.392 -1.438 -2.709
-1.189 -4.416 -0.028
Mn Co W
1 4 1
Direct
0.750 0.750 0.750 Mn
0.376 0.376 0.376 Co
0.376 0.376 0.873 Co
0.873 0.376 0.376 Co
0.376 0.873 0.376 Co
0.000 0.000 0.000 W
```

For the volume, the calculation gives 68 Å³/cell. The calculation puts the mass density at 11.65 g/cm³. Its symmetry is F-43m. For the total energy, the calculation gives -9.053 eV per atom. The formation enthalpy at 0 K is 0.03 eV/atom.

---

[12]
A relaxed structure of Ba2PbN, computed with PBEsol.

Structure (POSCAR):
```
Ba2PbN
1.0
5.559 0.000 0.000
2.779 4.814 0.000
2.779 1.605 4.539
Pb Ba N
1 2 1
Direct
0.500 0.500 0.500 Pb
0.250 0.250 0.250 Ba
0.750 0.750 0.750 Ba
0.000 0.000 0.000 N
```

For the volume, the calculation gives 121 Å³/cell. The calculation puts the mass density at 6.78 g/cm³. Its symmetry is Fm-3m. The formation energy (no corrections) is 384 meV/atom. For the total energy, the calculation gives -3.821 eV per atom.